Record 1
# Li2SnMo, optimized geometry, DFT PBE-GGA
data_Li2SnMo
_chemical_formula_sum 'Li2 Sn1 Mo1'
_cell_length_a 4.569
_cell_length_b 4.569
_cell_length_c 4.569
_cell_angle_alpha 60.00
_cell_angle_beta 60.00
_cell_angle_gamma 60.00
_symmetry_space_group_name_H-M 'P 1'
_symmetry_Int_Tables_number 1
loop_
_symmetry_equiv_pos_as_xyz
'x,y,z'
loop_
_atom_site_label
_atom_site_type_symbol
_atom_site_fract_x
_atom_site_fract_y
_atom_site_fract_z
Li1 Li 0.000 0.000 0.000
Li2 Li 0.750 0.750 0.750
Sn1 Sn 0.500 0.500 0.500
Mo1 Mo 0.250 0.250 0.250
# raw total energy: -4.49 eV/atom
# space-group type: No. 216

***

Record 2
# TbPmTl2, optimized geometry, DFT PBE-GGA
data_TbPmTl2
_chemical_formula_sum 'Tb1 Pm1 Tl2'
_cell_length_a 3.833
_cell_length_b 3.833
_cell_length_c 7.642
_cell_angle_alpha 90.00
_cell_angle_beta 90.00
_cell_angle_gamma 90.00
_symmetry_space_group_name_H-M 'P 1'
_symmetry_Int_Tables_number 1
loop_
_symmetry_equiv_pos_as_xyz
'x,y,z'
loop_
_atom_site_label
_atom_site_type_symbol
_atom_site_fract_x
_atom_site_fract_y
_atom_site_fract_z
Tl1 Tl 0.500 0.500 0.758
Tl2 Tl 0.500 0.500 0.242
Tb1 Tb 0.000 0.000 0.000
Pm1 Pm 0.000 0.000 0.500
# raw total energy: -3.90 eV/atom
# space-group type: No. 123

***

Record 3
# ReSi2P3O15, optimized geometry, DFT PBE-GGA
data_ReSi2P3O15
_chemical_formula_sum 'Re2 Si4 P6 O30'
_cell_length_a 7.774
_cell_length_b 7.794
_cell_length_c 10.694
_cell_angle_alpha 77.65
_cell_angle_beta 73.14
_cell_angle_gamma 60.13
_symmetry_space_group_name_H-M 'P 1'
_symmetry_Int_Tables_number 1
loop_
_symmetry_equiv_pos_as_xyz
'x,y,z'
loop_
_atom_site_label
_atom_site_type_symbol
_atom_site_fract_x
_atom_site_fract_y
_atom_site_fract_z
O1 O 0.285 0.958 0.923
O2 O 0.715 0.042 0.077
O3 O 0.600 0.610 0.526
O4 O 0.358 0.699 0.787
O5 O 0.616 0.312 0.787
O6 O 0.021 0.699 0.080
O7 O 0.993 0.937 0.878
O8 O 0.400 0.390 0.474
O9 O 0.668 0.965 0.874
O10 O 0.255 0.434 0.215
O11 O 0.965 0.639 0.878
O12 O 0.116 0.436 0.694
O13 O 0.745 0.566 0.785
O14 O 0.193 0.054 0.697
O15 O 0.883 0.713 0.517
O16 O 0.321 0.266 0.923
O17 O 0.035 0.361 0.122
O18 O 0.007 0.063 0.122
O19 O 0.117 0.287 0.483
O20 O 0.679 0.734 0.077
O21 O 0.884 0.564 0.306
O22 O 0.807 0.946 0.303
O23 O 0.493 0.139 0.693
O24 O 0.979 0.301 0.920
O25 O 0.642 0.301 0.213
O26 O 0.332 0.035 0.126
O27 O 0.384 0.688 0.213
O28 O 0.500 0.000 0.500
O29 O 0.507 0.861 0.307
O30 O 0.500 0.500 0.000
P1 P 0.955 0.483 0.823
P2 P 0.797 0.080 0.178
P3 P 0.045 0.517 0.177
P4 P 0.521 0.165 0.820
P5 P 0.479 0.835 0.180
P6 P 0.203 0.920 0.822
Re1 Re 0.703 0.760 0.435
Re2 Re 0.297 0.240 0.565
Si1 Si 0.448 0.481 0.157
Si2 Si 0.838 0.838 0.977
Si3 Si 0.162 0.162 0.023
Si4 Si 0.552 0.519 0.843
# raw total energy: -7.56 eV/atom
# space-group type: No. 2

***

Record 4
# SrAcTc, optimized geometry, DFT PBE-GGA
data_SrAcTc
_chemical_formula_sum 'Sr1 Ac1 Tc1'
_cell_length_a 5.208
_cell_length_b 5.208
_cell_length_c 5.208
_cell_angle_alpha 60.00
_cell_angle_beta 60.00
_cell_angle_gamma 60.00
_symmetry_space_group_name_H-M 'P 1'
_symmetry_Int_Tables_number 1
loop_
_symmetry_equiv_pos_as_xyz
'x,y,z'
loop_
_atom_site_label
_atom_site_type_symbol
_atom_site_fract_x
_atom_site_fract_y
_atom_site_fract_z
Ac1 Ac 0.000 0.000 0.000
Sr1 Sr 0.250 0.250 0.250
Tc1 Tc 0.750 0.750 0.750
# excess energy over the best structure of this formula in the dataset: 0.0 meV/atom
# space-group type: No. 216

***

Record 5
# K2MgFeP2, optimized geometry, DFT PBE-GGA
data_K2MgFeP2
_chemical_formula_sum 'K2 Mg1 Fe1 P2'
_cell_length_a 4.151
_cell_length_b 4.151
_cell_length_c 9.592
_cell_angle_alpha 90.00
_cell_angle_beta 90.00
_cell_angle_gamma 90.00
_symmetry_space_group_name_H-M 'P 1'
_symmetry_Int_Tables_number 1
loop_
_symmetry_equiv_pos_as_xyz
'x,y,z'
loop_
_atom_site_label
_atom_site_type_symbol
_atom_site_fract_x
_atom_site_fract_y
_atom_site_fract_z
P1 P 0.500 0.000 0.145
P2 P 0.000 0.500 0.855
K1 K 0.000 0.500 0.299
K2 K 0.500 0.000 0.701
Fe1 Fe 0.000 0.000 0.000
Mg1 Mg 0.500 0.500 0.000
# raw total energy: -4.14 eV/atom
# space-group type: No. 115

***

Record 6
# Fe3As5Au, optimized geometry, DFT PBE-GGA
data_Fe3As5Au
_chemical_formula_sum 'Fe3 As5 Au1'
_cell_length_a 4.945
_cell_length_b 4.945
_cell_length_c 7.328
_cell_angle_alpha 90.00
_cell_angle_beta 90.00
_cell_angle_gamma 120.00
_symmetry_space_group_name_H-M 'P 1'
_symmetry_Int_Tables_number 1
loop_
_symmetry_equiv_pos_as_xyz
'x,y,z'
loop_
_atom_site_label
_atom_site_type_symbol
_atom_site_fract_x
_atom_site_fract_y
_atom_site_fract_z
Fe1 Fe 0.000 0.500 0.500
Fe2 Fe 0.500 0.000 0.500
Fe3 Fe 0.500 0.500 0.500
As1 As 0.333 0.667 0.783
As2 As 0.333 0.667 0.217
As3 As 0.667 0.333 0.217
As4 As 0.000 0.000 0.500
As5 As 0.667 0.333 0.783
Au1 Au 0.000 0.000 0.000
# raw total energy: -5.64 eV/atom
# space-group type: No. 191

***

Record 7
# CsZrAuS3, optimized geometry, DFT PBE-GGA
data_CsZrAuS3
_chemical_formula_sum 'Cs2 Zr2 Au2 S6'
_cell_length_a 8.850
_cell_length_b 3.886
_cell_length_c 10.096
_cell_angle_alpha 90.00
_cell_angle_beta 114.49
_cell_angle_gamma 90.00
_symmetry_space_group_name_H-M 'P 1'
_symmetry_Int_Tables_number 1
loop_
_symmetry_equiv_pos_as_xyz
'x,y,z'
loop_
_atom_site_label
_atom_site_type_symbol
_atom_site_fract_x
_atom_site_fract_y
_atom_site_fract_z
S1 S 0.371 0.750 0.629
S2 S 0.028 0.250 0.371
S3 S 0.629 0.250 0.371
S4 S 0.754 0.750 0.071
S5 S 0.246 0.250 0.929
S6 S 0.972 0.750 0.629
Au1 Au 0.425 0.750 0.886
Au2 Au 0.575 0.250 0.114
Zr1 Zr 0.186 0.250 0.660
Zr2 Zr 0.814 0.750 0.340
Cs1 Cs 0.746 0.250 0.771
Cs2 Cs 0.254 0.750 0.229
# excess energy over the best structure of this formula in the dataset: 0.0 meV/atom
# space-group type: No. 11

***

Record 8
# Gd5C, optimized geometry, DFT PBE-GGA
data_Gd5C
_chemical_formula_sum 'Gd5 C1'
_cell_length_a 6.131
_cell_length_b 6.131
_cell_length_c 6.012
_cell_angle_alpha 90.00
_cell_angle_beta 90.00
_cell_angle_gamma 120.00
_symmetry_space_group_name_H-M 'P 1'
_symmetry_Int_Tables_number 1
loop_
_symmetry_equiv_pos_as_xyz
'x,y,z'
loop_
_atom_site_label
_atom_site_type_symbol
_atom_site_fract_x
_atom_site_fract_y
_atom_site_fract_z
Gd1 Gd 0.667 0.333 0.000
Gd2 Gd 0.500 0.500 0.500
Gd3 Gd 0.500 0.000 0.500
Gd4 Gd 0.000 0.500 0.500
Gd5 Gd 0.333 0.667 0.000
C1 C 0.000 0.000 0.000
# raw total energy: -3.84 eV/atom
# space-group type: No. 191

***

Record 9
# TmInCoSe3, optimized geometry, DFT PBE-GGA
data_TmInCoSe3
_chemical_formula_sum 'Tm4 In4 Co4 Se12'
_cell_length_a 11.454
_cell_length_b 3.915
_cell_length_c 11.979
_cell_angle_alpha 90.00
_cell_angle_beta 90.00
_cell_angle_gamma 90.00
_symmetry_space_group_name_H-M 'P 1'
_symmetry_Int_Tables_number 1
loop_
_symmetry_equiv_pos_as_xyz
'x,y,z'
loop_
_atom_site_label
_atom_site_type_symbol
_atom_site_fract_x
_atom_site_fract_y
_atom_site_fract_z
Se1 Se 0.645 0.500 0.520
Se2 Se 0.943 0.500 0.395
Se3 Se 0.355 0.000 0.480
Se4 Se 0.443 0.000 0.105
Se5 Se 0.855 0.500 0.020
Se6 Se 0.779 0.000 0.756
Se7 Se 0.057 0.000 0.605
Se8 Se 0.145 0.000 0.980
Se9 Se 0.557 0.500 0.895
Se10 Se 0.279 0.500 0.744
Se11 Se 0.721 0.000 0.256
Se12 Se 0.221 0.500 0.244
In1 In 0.488 0.000 0.684
In2 In 0.012 0.000 0.184
In3 In 0.988 0.500 0.816
In4 In 0.512 0.500 0.316
Co1 Co 0.155 0.000 0.781
Co2 Co 0.345 0.000 0.281
Co3 Co 0.845 0.500 0.219
Co4 Co 0.655 0.500 0.719
Tm1 Tm 0.681 0.000 0.020
Tm2 Tm 0.319 0.500 0.980
Tm3 Tm 0.181 0.500 0.480
Tm4 Tm 0.819 0.000 0.520
# excess energy over the best structure of this formula in the dataset: 34.0 meV/atom
# space-group type: No. 62

***

Record 10
# Pa2NbO4, optimized geometry, DFT PBE-GGA
data_Pa2NbO4
_chemical_formula_sum 'Pa4 Nb2 O8'
_cell_length_a 6.844
_cell_length_b 6.844
_cell_length_c 6.844
_cell_angle_alpha 119.99
_cell_angle_beta 90.03
_cell_angle_gamma 119.99
_symmetry_space_group_name_H-M 'P 1'
_symmetry_Int_Tables_number 1
loop_
_symmetry_equiv_pos_as_xyz
'x,y,z'
loop_
_atom_site_label
_atom_site_type_symbol
_atom_site_fract_x
_atom_site_fract_y
_atom_site_fract_z
O1 O 0.629 0.257 0.886
O2 O 0.122 0.243 0.879
O3 O 0.121 0.243 0.364
O4 O 0.121 0.757 0.878
O5 O 0.629 0.743 0.372
O6 O 0.114 0.743 0.371
O7 O 0.628 0.257 0.371
O8 O 0.636 0.757 0.879
Pa1 Pa 0.875 0.250 0.625
Pa2 Pa 0.375 0.750 0.625
Pa3 Pa 0.375 0.250 0.625
Pa4 Pa 0.375 0.750 0.125
Nb1 Nb 0.750 0.500 0.250
Nb2 Nb 0.000 0.000 0.000
# raw total energy: -8.66 eV/atom
# space-group type: No. 227

***

Record 11
# Dy2Ag2SnPb, optimized geometry, DFT PBE-GGA
data_Dy2Ag2SnPb
_chemical_formula_sum 'Dy2 Ag2 Sn1 Pb1'
_cell_length_a 4.773
_cell_length_b 4.773
_cell_length_c 7.431
_cell_angle_alpha 90.00
_cell_angle_beta 90.00
_cell_angle_gamma 120.00
_symmetry_space_group_name_H-M 'P 1'
_symmetry_Int_Tables_number 1
loop_
_symmetry_equiv_pos_as_xyz
'x,y,z'
loop_
_atom_site_label
_atom_site_type_symbol
_atom_site_fract_x
_atom_site_fract_y
_atom_site_fract_z
Dy1 Dy 0.667 0.333 0.492
Dy2 Dy 0.667 0.333 0.996
Sn1 Sn 0.333 0.667 0.273
Ag1 Ag 0.000 0.000 0.189
Ag2 Ag 0.333 0.667 0.671
Pb1 Pb 0.000 0.000 0.775
# raw total energy: -4.26 eV/atom
# space-group type: No. 156

***

Record 12
# Dy3Er2Lu2Te2Pt2, optimized geometry, DFT PBE-GGA
data_Dy3Er2Lu2Te2Pt2
_chemical_formula_sum 'Dy3 Er2 Lu2 Te2 Pt2'
_cell_length_a 9.332
_cell_length_b 9.332
_cell_length_c 9.332
_cell_angle_alpha 155.64
_cell_angle_beta 67.19
_cell_angle_gamma 118.47
_symmetry_space_group_name_H-M 'P 1'
_symmetry_Int_Tables_number 1
loop_
_symmetry_equiv_pos_as_xyz
'x,y,z'
loop_
_atom_site_label
_atom_site_type_symbol
_atom_site_fract_x
_atom_site_fract_y
_atom_site_fract_z
Dy1 Dy 0.451 0.582 0.869
Dy2 Dy 0.000 0.000 0.000
Dy3 Dy 0.712 0.582 0.131
Er1 Er 0.378 0.732 0.645
Er2 Er 0.087 0.732 0.355
Lu1 Lu 0.691 0.374 0.317
Lu2 Lu 0.058 0.374 0.683
Te1 Te 0.738 0.238 0.500
Te2 Te 0.335 0.335 0.000
Pt1 Pt 0.304 0.068 0.235
Pt2 Pt 0.833 0.068 0.765
# raw total energy: -5.62 eV/atom
# space-group type: No. 44